Compound: TlFeNi2
Source: Alexandria via LeMat-Bulk
Functional: PBEsol
Structure: optimized geometry Values from VASP.

```
&SYSTEM
  ibrav = 0, nat = 4, ntyp = 3
/
ATOMIC_SPECIES
Fe 55.84 Fe.upf
Tl 204.38 Tl.upf
Ni 58.69 Ni.upf
ATOMIC_POSITIONS crystal
Fe 0.500 0.500 0.802
Tl 0.000 0.000 0.491
Ni 0.000 0.000 0.993
Ni 0.500 0.500 0.215
CELL_PARAMETERS angstrom
3.044 0.000 0.000
0.000 3.044 0.000
0.000 0.000 5.798
```

Computed properties:
**Final energy**: -22.7 eV/cell
**Density**: 11.675 g cm⁻³
**DOS(E_F)**: 2.88 states/eV/f.u.
**Formation enthalpy at 0 K**: 0.30 eV/atom

Compound: V6FeNi
Source: Alexandria via LeMat-Bulk
Functional: PBEsol
Structure: optimized geometry Values from VASP.

```
&SYSTEM
  ibrav = 0, nat = 8, ntyp = 3
/
ATOMIC_SPECIES
V 50.94 V.upf
Fe 55.84 Fe.upf
Ni 58.69 Ni.upf
ATOMIC_POSITIONS crystal
V 0.500 0.748 0.000
V 0.252 0.000 0.500
V 0.500 0.252 0.000
Fe 0.500 0.500 0.500
V 0.748 0.000 0.500
Ni 0.000 0.000 0.000
V 0.000 0.500 0.252
V 0.000 0.500 0.748
CELL_PARAMETERS angstrom
-0.858 -3.617 -2.703
4.513 -0.604 -0.624
0.136 -2.771 3.664
```

Computed properties:
**Final energy**: -74.5 eV/cell
**Density**: 7.187 g cm⁻³
**DOS(E_F)**: 6.44 states/eV/f.u.
**Formation enthalpy at 0 K**: -0.19 eV/atom

Compound: Fe4NiW
Source: Alexandria via LeMat-Bulk
Functional: PBEsol
Structure: optimized geometry Values from VASP.

```
&SYSTEM
  ibrav = 0, nat = 6, ntyp = 3
/
ATOMIC_SPECIES
Fe 55.84 Fe.upf
W 183.84 W.upf
Ni 58.69 Ni.upf
ATOMIC_POSITIONS crystal
Fe 0.376 0.376 0.872
Fe 0.376 0.376 0.376
W 0.000 0.000 0.000
Fe 0.376 0.872 0.376
Ni 0.750 0.750 0.750
Fe 0.872 0.376 0.376
CELL_PARAMETERS angstrom
-1.641 3.315 2.698
-3.714 2.356 -1.270
-3.961 -0.602 2.215
```

Computed properties:
**Final energy**: -55.8 eV/cell
**Density**: 11.403 g cm⁻³
**DOS(E_F)**: 3.19 states/eV/f.u.
**Formation enthalpy at 0 K**: 0.01 eV/atom

Compound: Fe2NiW
Source: Alexandria via LeMat-Bulk
Functional: PBEsol
Structure: optimized geometry Values from VASP.

```
&SYSTEM
  ibrav = 0, nat = 4, ntyp = 3
/
ATOMIC_SPECIES
Fe 55.84 Fe.upf
Ni 58.69 Ni.upf
W 183.84 W.upf
ATOMIC_POSITIONS crystal
Fe 0.250 0.750 0.500
Fe 0.750 0.250 0.500
Ni 0.500 0.500 0.000
W 0.000 0.000 0.000
CELL_PARAMETERS angstrom
3.606 0.000 0.000
0.000 3.606 0.000
-1.803 -1.803 3.574
```

Computed properties:
**Final energy**: -37.8 eV/cell
**Density**: 12.659 g cm⁻³
**DOS(E_F)**: 3.91 states/eV/f.u.
**Formation enthalpy at 0 K**: 0.01 eV/atom

Compound: Fe2NiW
Source: Alexandria via LeMat-Bulk
Functional: PBEsol
Structure: optimized geometry Values from VASP.

```
&SYSTEM
  ibrav = 0, nat = 4, ntyp = 3
/
ATOMIC_SPECIES
Fe 55.84 Fe.upf
Ni 58.69 Ni.upf
W 183.84 W.upf
ATOMIC_POSITIONS crystal
Fe 0.000 0.000 0.500
Fe 0.000 0.500 0.000
Ni 0.500 0.500 0.500
W 0.500 0.000 0.000
CELL_PARAMETERS angstrom
-3.358 -0.189 -0.996
0.994 -1.690 -3.030
-0.316 -3.183 1.671
```

Computed properties:
**Final energy**: -38.0 eV/cell
**Density**: 12.876 g cm⁻³
**DOS(E_F)**: 4.21 states/eV/f.u.
**Formation enthalpy at 0 K**: -0.03 eV/atom

Compound: Fe2NiW
Source: Alexandria via LeMat-Bulk
Functional: PBEsol
Structure: optimized geometry Values from VASP.

```
&SYSTEM
  ibrav = 0, nat = 4, ntyp = 3
/
ATOMIC_SPECIES
W 183.84 W.upf
Fe 55.84 Fe.upf
Ni 58.69 Ni.upf
ATOMIC_POSITIONS crystal
W 0.750 0.250 0.500
Fe 0.500 0.500 0.000
Fe 0.250 0.750 0.500
Ni 0.000 0.000 0.000
CELL_PARAMETERS angstrom
-0.471 -3.068 1.834
-0.274 -1.813 -3.104
3.899 1.901 0.639
```

Computed properties:
**Final energy**: -37.9 eV/cell
**Density**: 12.683 g cm⁻³
**DOS(E_F)**: 3.39 states/eV/f.u.
**Formation enthalpy at 0 K**: -0.01 eV/atom

Compound: FeNi6W
Source: Alexandria via LeMat-Bulk
Functional: PBEsol
Structure: optimized geometry Values from VASP.

```
&SYSTEM
  ibrav = 0, nat = 32, ntyp = 3
/
ATOMIC_SPECIES
Ni 58.69 Ni.upf
W 183.84 W.upf
Fe 55.84 Fe.upf
ATOMIC_POSITIONS crystal
Ni 0.500 0.500 0.500
W 0.247 0.753 0.500
W 0.753 0.247 0.500
Ni 0.377 0.126 0.876
W 0.000 0.000 0.244
Ni 0.873 0.624 0.626
W 0.000 0.000 0.756
Ni 0.377 0.126 0.124
Fe 0.752 0.248 0.000
Ni 0.127 0.376 0.626
Ni 0.376 0.127 0.374
Ni 0.749 0.251 0.751
Ni 0.873 0.624 0.374
Fe 0.500 0.500 0.244
Ni 0.749 0.251 0.249
Ni 0.874 0.623 0.124
Fe 0.500 0.500 0.756
Ni 0.251 0.749 0.751
Fe 0.248 0.752 0.000
Ni 0.874 0.623 0.876
Ni 0.624 0.873 0.374
Ni 0.000 0.000 0.000
Ni 0.376 0.127 0.626
Ni 0.127 0.376 0.374
Ni 0.623 0.874 0.124
Ni 0.126 0.377 0.876
Ni 0.251 0.749 0.249
Ni 0.623 0.874 0.876
Ni 0.126 0.377 0.124
Ni 0.500 0.500 0.000
Ni 0.624 0.873 0.626
Ni 0.000 0.000 0.500
CELL_PARAMETERS angstrom
6.131 -0.001 0.000
-2.043 5.781 0.000
0.000 0.000 10.023
```

Computed properties:
**Final energy**: -239.9 eV/cell
**Density**: 11.066 g cm⁻³
**DOS(E_F)**: 7.84 states/eV/f.u.
**Formation enthalpy at 0 K**: -0.03 eV/atom

Compound: YFeNi2
Source: Alexandria via LeMat-Bulk
Functional: PBEsol
Structure: optimized geometry Values from VASP.

```
&SYSTEM
  ibrav = 0, nat = 4, ntyp = 3
/
ATOMIC_SPECIES
Fe 55.84 Fe.upf
Ni 58.69 Ni.upf
Y 88.91 Y.upf
ATOMIC_POSITIONS crystal
Fe 0.000 0.000 0.000
Ni 0.699 0.699 0.902
Ni 0.301 0.301 0.098
Y 0.500 0.500 0.500
CELL_PARAMETERS angstrom
-2.460 2.643 -1.681
-3.824 0.144 1.104
-1.046 3.962 3.041
```

Computed properties:
**Final energy**: -28.9 eV/cell
**Density**: 6.957 g cm⁻³
**DOS(E_F)**: 2.96 states/eV/f.u.
**Formation enthalpy at 0 K**: -0.20 eV/atom

Compound: YFeNi
Source: Alexandria via LeMat-Bulk
Functional: PBEsol
Structure: optimized geometry Values from VASP.

```
&SYSTEM
  ibrav = 0, nat = 3, ntyp = 3
/
ATOMIC_SPECIES
Fe 55.84 Fe.upf
Ni 58.69 Ni.upf
Y 88.91 Y.upf
ATOMIC_POSITIONS crystal
Fe 0.000 0.000 0.000
Ni 0.333 0.667 0.000
Y 0.667 0.333 0.500
CELL_PARAMETERS angstrom
-1.398 3.419 -1.173
-0.638 -1.214 3.625
3.303 1.751 1.167
```

Computed properties:
**Final energy**: -22.2 eV/cell
**Density**: 6.630 g cm⁻³
**DOS(E_F)**: 3.46 states/eV/f.u.
**Formation enthalpy at 0 K**: -0.10 eV/atom

Compound: YFeNi2
Source: Alexandria via LeMat-Bulk
Functional: PBEsol
Structure: optimized geometry Values from VASP.

```
&SYSTEM
  ibrav = 0, nat = 4, ntyp = 3
/
ATOMIC_SPECIES
Ni 58.69 Ni.upf
Y 88.91 Y.upf
Fe 55.84 Fe.upf
ATOMIC_POSITIONS crystal
Ni 0.750 0.750 0.750
Y 0.250 0.250 0.250
Ni 0.000 0.000 0.000
Fe 0.500 0.500 0.500
CELL_PARAMETERS angstrom
-1.755 -2.913 2.625
-2.736 -2.923 -1.558
1.183 -4.121 -0.267
```

Computed properties:
**Final energy**: -27.7 eV/cell
**Density**: 7.764 g cm⁻³
**DOS(E_F)**: 2.40 states/eV/f.u.
**Formation enthalpy at 0 K**: 0.10 eV/atom

Compound: YFeNi2
Source: Alexandria via LeMat-Bulk
Functional: PBEsol
Structure: optimized geometry Values from VASP.

```
&SYSTEM
  ibrav = 0, nat = 4, ntyp = 3
/
ATOMIC_SPECIES
Ni 58.69 Ni.upf
Y 88.91 Y.upf
Fe 55.84 Fe.upf
ATOMIC_POSITIONS crystal
Ni 0.000 0.000 0.992
Y 0.000 0.000 0.491
Fe 0.500 0.500 0.817
Ni 0.500 0.500 0.200
CELL_PARAMETERS angstrom
-2.570 1.231 -1.140
-0.160 -2.256 -2.076
-3.326 -3.342 3.889
```

Computed properties:
**Final energy**: -27.8 eV/cell
**Density**: 7.558 g cm⁻³
**DOS(E_F)**: 3.74 states/eV/f.u.
**Formation enthalpy at 0 K**: 0.07 eV/atom

Compound: YFeNi
Source: Alexandria via LeMat-Bulk
Functional: PBEsol
Structure: optimized geometry Values from VASP.

```
&SYSTEM
  ibrav = 0, nat = 3, ntyp = 3
/
ATOMIC_SPECIES
Fe 55.84 Fe.upf
Ni 58.69 Ni.upf
Y 88.91 Y.upf
ATOMIC_POSITIONS crystal
Fe 0.250 0.250 0.250
Ni 0.000 0.000 0.000
Y 0.500 0.500 0.500
CELL_PARAMETERS angstrom
4.213 0.000 0.000
2.107 3.649 0.000
2.107 1.216 3.440
```

Computed properties:
**Final energy**: -20.7 eV/cell
**Density**: 6.388 g cm⁻³
**DOS(E_F)**: 3.15 states/eV/f.u.
**Formation enthalpy at 0 K**: 0.40 eV/atom

Compound: ZnFeNi6
Source: Alexandria via LeMat-Bulk
Functional: PBEsol
Structure: optimized geometry Values from VASP.

```
&SYSTEM
  ibrav = 0, nat = 32, ntyp = 3
/
ATOMIC_SPECIES
Fe 55.84 Fe.upf
Ni 58.69 Ni.upf
Zn 65.41 Zn.upf
ATOMIC_POSITIONS crystal
Fe 0.500 0.500 0.252
Ni 0.873 0.622 0.123
Ni 0.622 0.873 0.877
Ni 0.872 0.623 0.373
Ni 0.623 0.872 0.627
Ni 0.500 0.500 0.000
Zn 0.000 0.000 0.750
Fe 0.500 0.500 0.748
Zn 0.249 0.751 0.500
Ni 0.377 0.128 0.373
Fe 0.749 0.251 0.000
Ni 0.000 0.000 0.000
Ni 0.127 0.378 0.123
Ni 0.377 0.128 0.627
Zn 0.000 0.000 0.250
Ni 0.127 0.378 0.877
Zn 0.751 0.249 0.500
Ni 0.500 0.500 0.500
Ni 0.252 0.748 0.247
Ni 0.128 0.377 0.627
Ni 0.748 0.252 0.247
Ni 0.000 0.000 0.500
Ni 0.378 0.127 0.123
Fe 0.251 0.749 0.000
Ni 0.873 0.622 0.877
Ni 0.623 0.872 0.373
Ni 0.748 0.252 0.753
Ni 0.128 0.377 0.373
Ni 0.622 0.873 0.123
Ni 0.252 0.748 0.753
Ni 0.378 0.127 0.877
Ni 0.872 0.623 0.627
CELL_PARAMETERS angstrom
-4.603 3.913 -0.392
-2.152 -5.658 0.032
-0.600 0.285 9.881
```

Computed properties:
**Final energy**: -193.5 eV/cell
**Density**: 9.192 g cm⁻³
**DOS(E_F)**: 5.98 states/eV/f.u.
**Formation enthalpy at 0 K**: -0.11 eV/atom

Compound: ZnFe2Ni
Source: Alexandria via LeMat-Bulk
Functional: PBEsol
Structure: optimized geometry Values from VASP.

```
&SYSTEM
  ibrav = 0, nat = 4, ntyp = 3
/
ATOMIC_SPECIES
Fe 55.84 Fe.upf
Zn 65.41 Zn.upf
Ni 58.69 Ni.upf
ATOMIC_POSITIONS crystal
Fe 0.500 0.500 0.249
Zn 0.500 0.500 0.748
Fe 0.000 0.000 0.014
Ni 0.000 0.000 0.490
CELL_PARAMETERS angstrom
2.500 0.000 0.000
0.000 2.500 0.000
0.000 0.000 7.024
```

Computed properties:
**Final energy**: -25.8 eV/cell
**Density**: 8.916 g cm⁻³
**DOS(E_F)**: 3.61 states/eV/f.u.
**Formation enthalpy at 0 K**: -0.02 eV/atom

Compound: ZnFe2Ni
Source: Alexandria via LeMat-Bulk
Functional: PBEsol
Structure: optimized geometry Values from VASP.

```
&SYSTEM
  ibrav = 0, nat = 4, ntyp = 3
/
ATOMIC_SPECIES
Ni 58.69 Ni.upf
Zn 65.41 Zn.upf
Fe 55.84 Fe.upf
ATOMIC_POSITIONS crystal
Ni 0.500 0.500 0.500
Zn 0.000 0.000 0.500
Fe 0.500 0.000 0.000
Fe 0.000 0.500 0.000
CELL_PARAMETERS angstrom
3.508 0.000 0.000
0.000 3.508 0.000
0.000 0.000 3.705
```

Computed properties:
**Final energy**: -25.7 eV/cell
**Density**: 8.588 g cm⁻³
**DOS(E_F)**: 3.49 states/eV/f.u.
**Formation enthalpy at 0 K**: 0.00 eV/atom

Compound: ZnFeNi
Source: Alexandria via LeMat-Bulk
Functional: PBEsol
Structure: optimized geometry Values from VASP.

```
&SYSTEM
  ibrav = 0, nat = 3, ntyp = 3
/
ATOMIC_SPECIES
Fe 55.84 Fe.upf
Ni 58.69 Ni.upf
Zn 65.41 Zn.upf
ATOMIC_POSITIONS crystal
Fe 0.006 0.006 0.013
Ni 0.663 0.663 0.326
Zn 0.331 0.331 0.662
CELL_PARAMETERS angstrom
2.543 0.000 0.000
0.000 2.543 0.000
-1.272 -1.272 5.259
```

Computed properties:
**Final energy**: -16.9 eV/cell
**Density**: 8.783 g cm⁻³
**DOS(E_F)**: 2.07 states/eV/f.u.
**Formation enthalpy at 0 K**: -0.08 eV/atom

Compound: ZnFe2Ni
Source: Alexandria via LeMat-Bulk
Functional: PBEsol
Structure: optimized geometry Values from VASP.

```
&SYSTEM
  ibrav = 0, nat = 4, ntyp = 3
/
ATOMIC_SPECIES
Zn 65.41 Zn.upf
Fe 55.84 Fe.upf
Ni 58.69 Ni.upf
ATOMIC_POSITIONS crystal
Zn 0.250 0.250 0.250
Fe 0.750 0.750 0.750
Ni 0.500 0.500 0.500
Fe 0.000 0.000 0.000
CELL_PARAMETERS angstrom
-0.481 -3.845 0.954
2.418 -2.762 -1.566
2.690 -1.836 2.306
```

Computed properties:
**Final energy**: -25.6 eV/cell
**Density**: 8.712 g cm⁻³
**DOS(E_F)**: 3.78 states/eV/f.u.
**Formation enthalpy at 0 K**: 0.00 eV/atom

Compound: Fe13O14
Source: Alexandria via LeMat-Bulk
Functional: PBEsol
Structure: optimized geometry Values from VASP.

```
&SYSTEM
  ibrav = 0, nat = 27, ntyp = 2
/
ATOMIC_SPECIES
Fe 55.84 Fe.upf
O 16.00 O.upf
ATOMIC_POSITIONS crystal
Fe 0.279 0.139 0.586
O 0.887 0.337 0.035
O 0.178 0.468 0.605
O 0.965 0.113 0.663
Fe 0.793 0.658 0.066
Fe 0.934 0.207 0.342
O 0.822 0.532 0.395
O 0.035 0.887 0.337
Fe 0.207 0.342 0.934
O 0.468 0.605 0.178
O 0.395 0.822 0.532
O 0.663 0.965 0.113
O 0.337 0.035 0.887
Fe 0.586 0.279 0.139
Fe 0.342 0.934 0.207
Fe 0.139 0.586 0.279
O 0.113 0.663 0.965
O 0.745 0.745 0.745
Fe 0.500 0.500 0.500
Fe 0.721 0.861 0.414
Fe 0.414 0.721 0.861
O 0.532 0.395 0.822
Fe 0.658 0.066 0.793
Fe 0.861 0.414 0.721
O 0.605 0.178 0.468
O 0.255 0.255 0.255
Fe 0.066 0.793 0.658
CELL_PARAMETERS angstrom
6.674 -0.035 -0.028
2.022 6.361 -0.028
2.022 1.471 6.188
```

Computed properties:
**Final energy**: -214.6 eV/cell
**Density**: 5.982 g cm⁻³
**DOS(E_F)**: 17.22 states/eV/f.u.

Compound: FeO2
Source: Alexandria via LeMat-Bulk
Functional: PBEsol
Structure: optimized geometry Values from VASP.

```
&SYSTEM
  ibrav = 0, nat = 6, ntyp = 2
/
ATOMIC_SPECIES
O 16.00 O.upf
Fe 55.84 Fe.upf
ATOMIC_POSITIONS crystal
O 0.333 0.667 0.095
Fe 0.000 0.000 0.500
O 0.667 0.333 0.595
Fe 0.000 0.000 0.000
O 0.667 0.333 0.905
O 0.333 0.667 0.405
CELL_PARAMETERS angstrom
2.757 0.000 0.000
-1.378 2.387 0.000
0.000 0.000 10.358
```

Computed properties:
**Final energy**: -45.8 eV/cell
**Density**: 4.280 g cm⁻³
**DOS(E_F)**: 2.62 states/eV/f.u.

Compound: Fe3O4
Source: Alexandria via LeMat-Bulk
Functional: PBEsol
Structure: optimized geometry Values from VASP.

```
&SYSTEM
  ibrav = 0, nat = 14, ntyp = 2
/
ATOMIC_SPECIES
O 16.00 O.upf
Fe 55.84 Fe.upf
ATOMIC_POSITIONS crystal
O 0.387 0.387 0.840
O 0.863 0.410 0.863
O 0.387 0.840 0.387
O 0.840 0.387 0.387
O 0.863 0.863 0.863
O 0.863 0.863 0.410
Fe 0.625 0.125 0.625
Fe 0.625 0.625 0.625
O 0.410 0.863 0.863
Fe 0.000 0.000 0.000
O 0.387 0.387 0.387
Fe 0.125 0.625 0.625
Fe 0.625 0.625 0.125
Fe 0.250 0.250 0.250
CELL_PARAMETERS angstrom
-5.393 -1.183 1.371
-1.152 -4.252 3.600
-1.922 1.144 5.231
```

Computed properties:
**Final energy**: -112.1 eV/cell
**Density**: 5.905 g cm⁻³
**DOS(E_F)**: 7.41 states/eV/f.u.